1.
Below is a relaxed Li2Ca2PrSb2 crystal, with properties calculated at the PBE level.

Lattice parameters (Å, degrees): 4.7603 4.7603 28.1215 90.00 90.00 120.00
Last column: nearest neighbours and their distance in Å.
Space group R-3m (No. 166, hexagonal axes)
Unique sites:
Li: 0.0000 0.0000 0.0885 (multiplicity 6)  3 Sb 2.76
Ca: 0.0000 0.0000 0.3683 (multiplicity 6)  3 Li 3.13, 3 Sb 3.24, 3 Ca 3.38
Pr: 0.0000 0.0000 0.5000 (multiplicity 3)  6 Sb 3.39, 6 Li 3.52, 2 Ca 3.70
Sb: 0.0000 0.0000 0.2375 (multiplicity 6)  3 Li 2.76

Computed properties:
The density of states at the Fermi level comes out at 9.43 states/eV per cell. The uncorrected formation energy comes out at -0.69 eV per atom.



2.
Below is a relaxed LiCaPrSc crystal, with properties calculated at the PBE level.

Lattice parameters (Å, degrees): 7.8511 7.8511 7.8511 90.00 90.00 90.00
Last column: nearest neighbours and their distance in Å.
Space group F-43m (No. 216)
Unique sites:
Li: 0.0000 0.0000 0.0000 (multiplicity 4)  4 Pr 3.40, 4 Ca 3.40
Ca: 0.2500 0.2500 0.7500 (multiplicity 4)  4 Li 3.40, 4 Sc 3.40
Pr: 0.2500 0.2500 0.2500 (multiplicity 4)  4 Li 3.40, 4 Sc 3.40
Sc: 0.0000 0.0000 0.5000 (multiplicity 4)  4 Pr 3.40, 4 Ca 3.40

Computed properties:
The density of states at the Fermi level comes out at 21.58 states/eV per cell. As for the formation energy from the elements: 209 meV/atom.



3.
Below is a relaxed LiCa3Pr3Se8 crystal, with properties calculated at the PBE level.

Lattice parameters (Å, degrees): 8.4462 8.4462 20.6538 90.00 90.00 120.00
Last column: nearest neighbours and their distance in Å.
Space group R-3m (No. 166, hexagonal axes)
Unique sites:
Li: 0.0000 0.0000 0.0000 (multiplicity 3)  6 Se 2.90
Ca: 0.0000 0.5000 0.5000 (multiplicity 9)  6 Se 2.97-3.00
Pr: 0.0000 0.5000 0.0000 (multiplicity 9)  6 Se 2.98-3.00
Se: 0.0000 0.0000 0.2485 (multiplicity 6)  3 Ca 2.97, 3 Pr 3.00
Se: 0.0078 0.5039 0.7472 (multiplicity 18)  1 Li 2.90, 2 Pr 2.98, 2 Ca 3.00

Computed properties:
The uncorrected formation energy comes out at -1.80 eV per atom.



4.
Below is a relaxed Li2CaPr2Si2 crystal, with properties calculated at the PBE level.

Lattice parameters (Å, degrees): 4.5873 4.5873 27.8230 90.00 90.00 120.00
Last column: nearest neighbours and their distance in Å.
Space group R-3m (No. 166, hexagonal axes)
Unique sites:
Li: 0.0000 0.0000 0.1027 (multiplicity 6)  3 Si 2.66
Ca: 0.0000 0.0000 0.5000 (multiplicity 3)  6 Li 3.19, 6 Si 3.35, 2 Pr 3.52
Pr: 0.0000 0.0000 0.3735 (multiplicity 6)  3 Si 3.03, 3 Li 3.17
Si: 0.0000 0.0000 0.2403 (multiplicity 6)  3 Li 2.66

Computed properties:
The density of states at the Fermi level comes out at 12.59 states/eV per cell. The uncorrected formation energy comes out at -0.36 eV per atom.



5.
Below is a relaxed Li2Ca2PrSi2 crystal, with properties calculated at the PBE level.

Lattice parameters (Å, degrees): 4.5587 4.5587 28.0198 90.00 90.00 120.00
Last column: nearest neighbours and their distance in Å.
Space group R-3m (No. 166, hexagonal axes)
Unique sites:
Li: 0.0000 0.0000 0.0982 (multiplicity 6)  3 Si 2.63
Ca: 0.0000 0.0000 0.3743 (multiplicity 6)  3 Si 3.08, 3 Li 3.08
Pr: 0.0000 0.0000 0.5000 (multiplicity 3)  6 Li 3.26, 6 Si 3.26, 2 Ca 3.52
Si: 0.0000 0.0000 0.2356 (multiplicity 6)  3 Li 2.63

Computed properties:
The density of states at the Fermi level comes out at 7.79 states/eV per cell. The uncorrected formation energy comes out at -0.37 eV per atom.



6.
Below is a relaxed LiCa3Pr2Te6 crystal, with properties calculated at the PBE level.

Lattice parameters (Å, degrees): 7.7848 13.4767 7.8121 90.00 109.53 90.00
Last column: nearest neighbours and their distance in Å.
Space group C2/m (No. 12)
Unique sites:
Li: 0.0000 0.0000 0.0000 (multiplicity 2)  6 Te 3.12-3.14
Ca: 0.0000 0.1699 0.5000 (multiplicity 4)  6 Te 3.17-3.21
Ca: 0.0000 0.5000 0.5000 (multiplicity 2)  6 Te 3.16-3.23
Pr: 0.0000 0.3345 0.0000 (multiplicity 4)  6 Te 3.20-3.21
Te: 0.2423 0.0000 0.7488 (multiplicity 4)  1 Li 3.14, 3 Ca 3.18-3.23, 2 Pr 3.20
Te: 0.2452 0.1628 0.2482 (multiplicity 8)  1 Li 3.12, 3 Ca 3.16-3.21, 2 Pr 3.20-3.21

Computed properties:
The density of states at the Fermi level comes out at 7.78 states/eV per cell. The uncorrected formation energy comes out at -1.48 eV per atom.



7.
Below is a relaxed LiCa2PrTe4 crystal, with properties calculated at the PBE level.

Lattice parameters (Å, degrees): 7.7296 4.5223 7.7720 90.00 109.01 90.00
Last column: nearest neighbours and their distance in Å.
Space group P2/m (No. 10)
Unique sites:
Li: 0.0000 0.0000 0.0000 (multiplicity 1)  6 Te 3.10-3.16
Ca: 0.0000 0.5000 0.5000 (multiplicity 1)  6 Te 3.15-3.18
Ca: 0.5000 0.0000 0.5000 (multiplicity 1)  6 Te 3.21-3.22
Pr: 0.5000 0.5000 0.0000 (multiplicity 1)  6 Te 3.16-3.20
Te: 0.2442 0.0000 0.7536 (multiplicity 2)  1 Li 3.10, 3 Ca 3.18-3.21, 2 Pr 3.20
Te: 0.2457 0.5000 0.2464 (multiplicity 2)  3 Ca 3.15-3.22, 1 Pr 3.16, 2 Li 3.16

Computed properties:
The uncorrected formation energy comes out at -1.45 eV per atom.



8.
Below is a relaxed Li2CaPr2Tl2 crystal, with properties calculated at the PBE level.

Lattice parameters (Å, degrees): 4.9329 4.9329 28.0757 90.00 90.00 120.00
Last column: nearest neighbours and their distance in Å.
Space group R-3m (No. 166, hexagonal axes)
Unique sites:
Li: 0.0000 0.0000 0.1091 (multiplicity 6)  3 Tl 2.88
Ca: 0.0000 0.0000 0.5000 (multiplicity 3)  6 Li 3.27, 6 Tl 3.49, 2 Pr 3.57
Pr: 0.0000 0.0000 0.3727 (multiplicity 6)  3 Tl 3.24, 3 Li 3.46, 1 Ca 3.57, 3 Pr 3.61
Tl: 0.0000 0.0000 0.2388 (multiplicity 6)  3 Li 2.88

Computed properties:
The density of states at the Fermi level comes out at 13.63 states/eV per cell. As for the formation energy from the elements: -206 meV/atom.



Total moment? In order: 0.000; 0.000; 0.000; 0.000; 0.116; 0.000; 0.000; 0.000 μB/atom.